(1)
First-principles (GGA-PBE) data for a relaxed P2IrOsO crystal, as listed in the Alexandria database.

```
data_P2IrOsO
_chemical_formula_sum 'P2 Ir1 Os1 O1'
_cell_length_a 4.724
_cell_length_b 4.724
_cell_length_c 3.556
_cell_angle_alpha 90.00
_cell_angle_beta 90.00
_cell_angle_gamma 90.00
_space_group_name_H-M_alt 'P 4/m m m'
_space_group_IT_number 123
_space_group_name_Hall '-P 4 2'
loop_
_atom_site_label
_atom_site_type_symbol
_atom_site_fract_x
_atom_site_fract_y
_atom_site_fract_z
_atom_site_occupancy
P1 P 0.000 0.500 0.000 1
Ir1 Ir 0.000 0.000 0.000 1
Os1 Os 0.500 0.500 0.500 1
O1 O 0.000 0.000 0.500 1
```

Calculated values
E_form (uncorrected): 835 meV/atom
Calculated density: 9634 kg/m³
Relative energy among the computed polymorphs: 0.3482 eV/atom
Raw total energy: -6.34 eV per atom

(2)
First-principles (GGA-PBE) data for a relaxed TiI3N crystal, as listed in the Alexandria database.

```
data_TiI3N
_chemical_formula_sum 'Ti2 I6 N2'
_cell_length_a 6.887
_cell_length_b 7.559
_cell_length_c 8.798
_cell_angle_alpha 95.10
_cell_angle_beta 103.20
_cell_angle_gamma 117.04
_space_group_name_H-M_alt 'P 1'
_space_group_IT_number 1
loop_
_space_group_symop_operation_xyz
'x,y,z'
loop_
_atom_site_label
_atom_site_type_symbol
_atom_site_fract_x
_atom_site_fract_y
_atom_site_fract_z
_atom_site_occupancy
Ti1 Ti 0.000 0.000 0.000 1
Ti2 Ti 0.389 0.000 0.999 1
I1 I 0.186 0.846 0.239 1
I2 I 0.203 0.155 0.760 1
I3 I 0.420 0.354 0.172 1
I4 I 0.575 0.888 0.779 1
I5 I 0.814 0.112 0.220 1
I6 I 0.969 0.647 0.827 1
N1 N 0.564 0.233 0.522 1
N2 N 0.822 0.766 0.478 1
```

Calculated values
E_form (uncorrected): 488 meV/atom
Calculated density: 3796 kg/m³
Relative energy among the computed polymorphs: 0.0000 eV/atom
Raw total energy: -3.69 eV per atom

(3)
First-principles (GGA-PBE) data for a relaxed In3S3Cl crystal, as listed in the Alexandria database.

```
data_In3S3Cl
_chemical_formula_sum 'In12 S12 Cl4'
_cell_length_a 9.369
_cell_length_b 16.183
_cell_length_c 5.385
_cell_angle_alpha 90.00
_cell_angle_beta 90.00
_cell_angle_gamma 90.00
_space_group_name_H-M_alt 'C m c m'
_space_group_IT_number 63
_space_group_name_Hall '-C 2c 2'
loop_
_atom_site_label
_atom_site_type_symbol
_atom_site_fract_x
_atom_site_fract_y
_atom_site_fract_z
_atom_site_occupancy
In1 In 0.000 0.161 0.250 1
In2 In 0.243 0.081 0.750 1
S1 S 0.000 0.166 0.750 1
S2 S 0.250 0.083 0.250 1
Cl1 Cl 0.000 0.333 0.250 1
```

Calculated values
E_form (uncorrected): -467 meV/atom
Calculated density: 3873 kg/m³
Raw total energy: -3.67 eV per atom

(4)
First-principles (GGA-PBE) data for a relaxed Ho2Sc2Rh3 crystal, as listed in the Alexandria database.

```
data_Ho2Sc2Rh3
_chemical_formula_sum 'Ho6 Sc6 Rh9'
_cell_length_a 4.6018
_cell_length_b 4.6018
_cell_length_c 23.6391
_cell_angle_alpha 90.00
_cell_angle_beta 90.00
_cell_angle_gamma 120.00
_space_group_name_H-M_alt 'R -3 m'
_space_group_IT_number 166
_space_group_name_Hall '-R 3 2"'
loop_
_atom_site_label
_atom_site_type_symbol
_atom_site_fract_x
_atom_site_fract_y
_atom_site_fract_z
_atom_site_occupancy
Ho1 Ho 0.0000 0.0000 0.1228 1
Sc1 Sc 0.0000 0.0000 0.3728 1
Rh1 Rh 0.0000 0.0000 0.0000 1
Rh2 Rh 0.0000 0.0000 0.2552 1
```

Calculated values
Calculated density: 8372 kg/m³
Energy relative to the elements: -0.843 eV per atom
Raw total energy: -7.11 eV per atom

Q: What is the raw total energy in the fourth record?
A: -7.11 eV per atom